First-principles (PBE+U) data for a geometry-optimized Cs2CrPtF6 structure, as listed in the Alexandria database.

Results
DOS(E_F), states/eV per atom: 0.439
Space group: I4/mmm
Electronic total energy, eV/atom: -4.82
Calculated volume, Å³ per cell: 188

abc: 6.7795 6.7795 6.3014
angles: 57.46 57.46 90.00
With the nearest neighbours (Å) after each atom.
Sites, in units of the cell vectors:
Cr 0.5000 0.5000 0.0000  6 F 1.94-2.01
Pt 0.0000 0.0000 0.0000  2 F 2.08
Cs 0.2500 0.7500 0.5000  12 F 3.18-3.39
Cs 0.7500 0.2500 0.5000  12 F 3.18-3.39
F 0.7463 0.7463 0.5074  1 Cr 2.01, 1 Pt 2.08
F 0.2973 0.2973 0.0000  1 Cr 1.94
F 0.7027 0.2973 0.0000  1 Cr 1.94
F 0.2537 0.2537 0.4926  1 Cr 2.01, 1 Pt 2.08
F 0.7027 0.7027 0.0000  1 Cr 1.94
F 0.2973 0.7027 0.0000  1 Cr 1.94